[1]
Computed, not measured: a geometry-optimized HfIO2 structure at the PBE-GGA level of DFT.

```
4
Lattice="0.0000 3.0357 3.0357 3.0357 0.0000 3.0357 3.0357 3.0357 0.0000" Properties=species:S:1:pos:R:3 pbc="T T T"
Hf 0.0000 0.0000 0.0000
I 3.0357 3.0357 3.0357
O 1.5178 1.5178 1.5178
O 4.5535 4.5535 4.5535
```

Output
M_tot = 0.00 μB/f.u.
Fermi-level density of states = 1.069 states/eV per atom
Space group = No. 225
E_form (uncorrected) = -0.60 eV per atom


[2]
Computed, not measured: a geometry-optimized Li2CuPt structure at the PBE-GGA level of DFT.

```
4
Lattice="4.8020 -1.4173 0.0000 4.8020 1.4173 0.0000 -2.0089 0.0000 3.9526" Properties=species:S:1:pos:R:3 pbc="T T T"
Li 0.0000 0.0000 0.0000
Li 0.5244 0.0000 3.4672
Cu 3.7757 0.0000 1.8975
Pt 6.4124 0.0000 1.5612
```

Output
Energy of formation from the pure elements = -339 meV/atom
M_tot = 0.00 μB/f.u.
Fermi-level density of states = 0.372 states/eV per atom
Space group = No. 8
Energy relative to the lowest polymorph listed for this composition = 41 meV/atom


[3]
Computed, not measured: a geometry-optimized RbNdMn2Cl8 structure at the PBE-GGA level of DFT.

```
12
Lattice="3.2609 1.8827 10.4739 -3.2609 1.8827 10.4739 0.0000 -3.7654 10.4739" Properties=species:S:1:pos:R:3 pbc="T T T"
Rb 0.0000 0.0000 0.0000
Nd 0.0000 0.0000 15.7108
Mn 0.0000 0.0000 7.8268
Mn 0.0000 0.0000 23.5948
Cl -1.0218 -1.8675 13.9418
Cl -1.1064 -1.8186 17.4798
Cl 0.0000 0.0000 10.0939
Cl -1.1064 1.8186 13.9418
Cl -1.0218 1.8675 17.4799
Cl 0.0000 0.0000 21.3277
Cl 2.1282 0.0488 13.9418
Cl 2.1282 -0.0488 17.4799
```

Output
M_tot = 10.00 μB/f.u.
Fermi-level density of states = 0.000 states/eV per atom
Space group = No. 155
E_form (uncorrected) = -1.59 eV per atom


[4]
Computed, not measured: a geometry-optimized ScVCo2C structure at the PBE-GGA level of DFT.

```
5
Lattice="3.8711 0.0000 0.0000 0.0000 3.8711 0.0000 0.0000 0.0000 4.0247" Properties=species:S:1:pos:R:3 pbc="T T T"
Sc 0.0000 0.0000 0.0000
V 1.9356 1.9356 0.0000
Co 0.0000 1.9356 2.0123
Co 1.9356 0.0000 2.0123
C 1.9356 1.9356 2.0123
```

Output
Energy of formation from the pure elements = -155 meV/atom
M_tot = 2.66 μB/f.u.
Fermi-level density of states = 1.048 states/eV per atom
Space group = No. 123


[5]
Computed, not measured: a geometry-optimized SrMg3Ga structure at the PBE-GGA level of DFT.

```
5
Lattice="5.2731 0.0000 0.0000 0.0000 5.2731 0.0000 0.0000 0.0000 5.2731" Properties=species:S:1:pos:R:3 pbc="T T T"
Sr 0.0000 0.0000 0.0000
Mg 0.0000 2.6365 2.6365
Mg 2.6365 0.0000 2.6365
Mg 2.6365 2.6365 0.0000
Ga 2.6365 2.6365 2.6365
```

Output
Energy of formation from the pure elements = 32 meV/atom
M_tot = 0.00 μB/f.u.
Fermi-level density of states = 1.111 states/eV per atom
Space group = No. 221
Energy relative to the lowest polymorph listed for this composition = 226 meV/atom


[6]
Computed, not measured: a geometry-optimized PmPr14Sn structure at the PBE-GGA level of DFT.

```
16
Lattice="7.3391 0.0000 0.0000 0.0000 7.3391 0.0000 0.0000 0.0000 10.3374" Properties=species:S:1:pos:R:3 pbc="T T T"
Pm 0.0000 0.0000 0.0000
Pr 0.0000 0.0000 5.1687
Pr 0.0000 3.6696 0.0000
Pr 0.0000 3.6696 5.1687
Pr 1.8786 1.8786 2.5061
Pr 1.8786 1.8786 7.8312
Pr 1.8786 5.4606 2.5061
Pr 1.8786 5.4606 7.8312
Pr 3.6696 0.0000 0.0000
Pr 3.6696 0.0000 5.1687
Pr 3.6696 3.6696 5.1687
Pr 5.4606 1.8786 2.5061
Pr 5.4606 1.8786 7.8312
Pr 5.4606 5.4606 2.5061
Pr 5.4606 5.4606 7.8312
Sn 3.6696 3.6696 0.0000
```

Output
Energy of formation from the pure elements = -75 meV/atom
M_tot = 0.00 μB/f.u.
Fermi-level density of states = 1.381 states/eV per atom
Space group = No. 123


[7]
Computed, not measured: a geometry-optimized Mg2Te structure at the PBE-GGA level of DFT.

```
6
Lattice="2.0721 -10.3628 0.0000 2.0721 10.3628 0.0000 0.0000 0.0000 4.0367" Properties=species:S:1:pos:R:3 pbc="T T T"
Mg 2.0721 8.1775 3.0275
Mg 2.0721 4.5875 1.0092
Mg 2.0721 -4.5875 3.0275
Mg 2.0721 -8.1775 1.0092
Te 2.0721 2.0051 3.0275
Te 2.0721 -2.0051 1.0092
```

Output
M_tot = 0.00 μB/f.u.
Fermi-level density of states = 0.282 states/eV per atom
Space group = No. 63
E_form (uncorrected) = -0.30 eV per atom


[8]
Computed, not measured: a geometry-optimized DyYCoRu structure at the PBE-GGA level of DFT.

```
4
Lattice="0.0000 3.3774 3.3774 3.3774 0.0000 3.3774 3.3774 3.3774 0.0000" Properties=species:S:1:pos:R:3 pbc="T T T"
Dy 0.0000 0.0000 0.0000
Y 3.3774 3.3774 3.3774
Co 1.6887 1.6887 1.6887
Ru 5.0661 5.0661 5.0661
```

Output
Energy of formation from the pure elements = -223 meV/atom
M_tot = 0.00 μB/f.u.
Fermi-level density of states = 1.013 states/eV per atom
Space group = No. 216